# Pm3GeI

Pm3GeI after structural relaxation (PBE-GGA, Alexandria).

```
10
Lattice="4.189 0.000 0.000 0.000 9.315 0.000 0.000 0.000 8.306" Properties=species:S:1:pos:R:3 pbc="T T T"
I 3.142 2.329 3.613
Pm 3.142 8.777 6.977
I 1.047 6.987 4.692
Pm 1.047 2.329 6.219
Ge 3.142 2.329 8.209
Pm 3.141 6.987 2.087
Ge 1.047 6.987 0.096
Pm 1.047 4.119 1.328
Pm 1.047 0.538 1.328
Pm 3.142 5.196 6.977
```

Results
symmetry: No. 59
crystal system: orthorhombic
formation energy (no corrections): -626 meV per atom
magnetic moment: 0.00 μB/atom